(1)
Density functional theory data (PBE) for a relaxed structure of Tb3Pr3Nd5.

a = 5.659 Å, b = 9.806 Å, c = 9.806 Å
α = 120.00°, β = 90.00°, γ = 90.00°
Positions (direct):
Pr  0.000  0.000  0.579
Nd  0.500  0.369  0.000
Tb  0.500  0.000  0.732
Tb  0.500  0.732  0.000
Pr  0.000  0.579  0.000
Nd  0.500  0.631  0.631
Nd  0.500  0.667  0.333
Nd  0.500  0.000  0.369
Nd  0.500  0.333  0.667
Pr  0.000  0.421  0.421
Tb  0.500  0.268  0.268

Output
space group	P-62m (189)
energy of formation from the pure elements	0.729	eV per atom
DOS(E_F)	20.8	states/eV/cell
spin magnetization	0.0	μB per formula unit



(2)
Density functional theory data (PBE) for a relaxed structure of Tb2Pr3Nd8.

a = 6.266 Å, b = 8.964 Å, c = 8.964 Å
α = 83.65°, β = 72.87°, γ = 72.87°
Positions (direct):
Nd  0.214  0.555  0.555
Nd  0.949  0.155  0.155
Nd  0.325  0.431  0.918
Nd  0.675  0.569  0.082
Nd  0.325  0.918  0.431
Tb  0.645  0.712  0.712
Pr  0.500  0.000  0.000
Pr  0.000  0.757  0.243
Nd  0.786  0.445  0.445
Nd  0.051  0.845  0.845
Pr  0.000  0.243  0.757
Nd  0.675  0.082  0.569
Tb  0.355  0.288  0.288

Output
space group	C2/m (12)
energy of formation from the pure elements	0.148	eV per atom
DOS(E_F)	22.6	states/eV/cell
spin magnetization	0.0	μB per formula unit



Look up the spin magnetization of the first one.
0.0 μB per formula unit



Which value of DOS(E_F) does entry 1 give?
20.8 states/eV/cell



Look up the energy of formation from the pure elements of the second one.
0.148 eV per atom